1.
Compound: La4TbPrNd2
Source: Alexandria via LeMat-Bulk
Functional: PBE
Structure: relaxed

Calculated values
**Calculated formation energy**: 0.01 eV/atom
**DFT total energy**: -4.819 eV per atom
**Fermi-level density of states**: 12.9 states/eV/f.u.

Geometry as CIF:
```
data_La4TbPrNd2
_cell_length_a 5.247
_cell_length_b 5.273
_cell_length_c 10.347
_cell_angle_alpha 90.00
_cell_angle_beta 90.06
_cell_angle_gamma 90.00
_space_group_name_H-M_alt 'P 1 2/m 1'
_space_group_IT_number 10
loop_
_space_group_symop_operation_xyz
'x,y,z'
'-x,-y,-z'
'-x,y,-z'
'x,-y,z'
loop_
_atom_site_label
_atom_site_type_symbol
_atom_site_fract_x
_atom_site_fract_y
_atom_site_fract_z
_atom_site_occupancy
La1 La 0.000 0.000 0.248 1
La2 La 0.499 0.500 0.752 1
Tb1 Tb 0.500 0.000 0.000 1
Pr1 Pr 0.000 0.500 0.500 1
Nd1 Nd 0.000 0.500 0.000 1
Nd2 Nd 0.500 0.000 0.500 1
```

=====

2.
Compound: LaTb2Pr4Nd
Source: Alexandria via LeMat-Bulk
Functional: PBE
Structure: relaxed

Calculated values
**Calculated formation energy**: 0.02 eV/atom
**DFT total energy**: -4.742 eV per atom
**Fermi-level density of states**: 12.8 states/eV/f.u.

Geometry as CIF:
```
data_LaTb2Pr4Nd
_cell_length_a 6.367
_cell_length_b 3.689
_cell_length_c 12.179
_cell_angle_alpha 90.00
_cell_angle_beta 100.25
_cell_angle_gamma 90.00
_space_group_name_H-M_alt 'P 1 2/m 1'
_space_group_IT_number 10
loop_
_space_group_symop_operation_xyz
'x,y,z'
'-x,-y,-z'
'-x,y,-z'
'x,-y,z'
loop_
_atom_site_label
_atom_site_type_symbol
_atom_site_fract_x
_atom_site_fract_y
_atom_site_fract_z
_atom_site_occupancy
La1 La 0.000 0.000 0.000 1
Tb1 Tb 0.000 0.500 0.500 1
Tb2 Tb 0.500 0.000 0.500 1
Pr1 Pr 0.249 0.000 0.746 1
Pr2 Pr 0.252 0.500 0.255 1
Nd1 Nd 0.500 0.500 0.000 1
```

=====

3.
Compound: LaTbPr2Nd2
Source: Alexandria via LeMat-Bulk
Functional: PBE
Structure: relaxed

Calculated values
**Calculated formation energy**: 0.05 eV/atom
**DFT total energy**: -4.727 eV per atom
**Fermi-level density of states**: 8.8 states/eV/f.u.

Geometry as CIF:
```
data_LaTbPr2Nd2
_cell_length_a 5.840
_cell_length_b 10.085
_cell_length_c 7.185
_cell_angle_alpha 90.00
_cell_angle_beta 90.00
_cell_angle_gamma 90.00
_space_group_name_H-M_alt 'P m c 21'
_space_group_IT_number 26
loop_
_space_group_symop_operation_xyz
'x,y,z'
'-x,-y,z+1/2'
'-x,y,z'
'x,-y,z+1/2'
loop_
_atom_site_label
_atom_site_type_symbol
_atom_site_fract_x
_atom_site_fract_y
_atom_site_fract_z
_atom_site_occupancy
La1 La 0.000 0.000 0.000 1
Tb1 Tb 0.500 0.165 0.250 1
Pr1 Pr 0.000 0.331 0.750 1
Pr2 Pr 0.500 0.500 0.000 1
Nd1 Nd 0.000 0.334 0.250 1
Nd2 Nd 0.500 0.168 0.750 1
```

=====

4.
Compound: LaTbPr2Nd5
Source: Alexandria via LeMat-Bulk
Functional: PBE
Structure: relaxed

Calculated values
**Calculated formation energy**: 0.25 eV/atom
**DFT total energy**: -4.518 eV per atom
**Fermi-level density of states**: 13.5 states/eV/f.u.

Geometry as CIF:
```
data_LaTbPr2Nd5
_cell_length_a 8.977
_cell_length_b 8.977
_cell_length_c 15.995
_cell_angle_alpha 90.00
_cell_angle_beta 90.00
_cell_angle_gamma 90.00
_space_group_name_H-M_alt 'I 4/m c m'
_space_group_IT_number 140
_space_group_name_Hall '-I 4 2c'
loop_
_atom_site_label
_atom_site_type_symbol
_atom_site_fract_x
_atom_site_fract_y
_atom_site_fract_z
_atom_site_occupancy
La1 La 0.000 0.000 0.250 1
Tb1 Tb 0.000 0.500 0.250 1
Pr1 Pr 0.118 0.382 0.000 1
Nd1 Nd 0.000 0.000 0.000 1
Nd2 Nd 0.208 0.292 0.362 1
```

=====

5.
Compound: La5Tb2PrNd
Source: Alexandria via LeMat-Bulk
Functional: PBE
Structure: relaxed

Calculated values
**Calculated formation energy**: 0.25 eV/atom
**DFT total energy**: -4.574 eV per atom
**Fermi-level density of states**: 14.9 states/eV/f.u.

Geometry as CIF:
```
data_La5Tb2PrNd
_cell_length_a 8.131
_cell_length_b 8.131
_cell_length_c 10.032
_cell_angle_alpha 90.00
_cell_angle_beta 90.00
_cell_angle_gamma 90.00
_space_group_name_H-M_alt 'P 4/m b m'
_space_group_IT_number 127
_space_group_name_Hall '-P 4 2ab'
loop_
_atom_site_label
_atom_site_type_symbol
_atom_site_fract_x
_atom_site_fract_y
_atom_site_fract_z
_atom_site_occupancy
La1 La 0.000 0.000 0.000 1
La2 La 0.201 0.299 0.261 1
Tb1 Tb 0.129 0.629 0.000 1
Pr1 Pr 0.000 0.000 0.500 1
Nd1 Nd 0.000 0.500 0.500 1
```

=====

6.
Compound: La2Tb6PrNd3
Source: Alexandria via LeMat-Bulk
Functional: PBE
Structure: relaxed

Calculated values
**Calculated formation energy**: 0.01 eV/atom
**DFT total energy**: -4.715 eV per atom
**Fermi-level density of states**: 14.7 states/eV/f.u.

Geometry as CIF:
```
data_La2Tb6PrNd3
_cell_length_a 6.319
_cell_length_b 10.949
_cell_length_c 11.935
_cell_angle_alpha 90.00
_cell_angle_beta 100.15
_cell_angle_gamma 90.00
_space_group_name_H-M_alt 'C 1 2/m 1'
_space_group_IT_number 12
loop_
_space_group_symop_operation_xyz
'x,y,z'
'-x,-y,-z'
'-x,y,-z'
'x,-y,z'
'x+1/2,y+1/2,z'
'-x+1/2,-y+1/2,-z'
'-x+1/2,y+1/2,-z'
'x+1/2,-y+1/2,z'
loop_
_atom_site_label
_atom_site_type_symbol
_atom_site_fract_x
_atom_site_fract_y
_atom_site_fract_z
_atom_site_occupancy
La1 La 0.000 0.167 0.000 1
Tb1 Tb 0.249 0.166 0.748 1
Tb2 Tb 0.249 0.500 0.748 1
Pr1 Pr 0.000 0.500 0.000 1
Nd1 Nd 0.000 0.000 0.500 1
Nd2 Nd 0.000 0.333 0.500 1
```

=====

7.
Compound: La2Tb4PrNd
Source: Alexandria via LeMat-Bulk
Functional: PBE
Structure: relaxed

Calculated values
**Calculated formation energy**: 0.01 eV/atom
**DFT total energy**: -4.727 eV per atom
**Fermi-level density of states**: 11.1 states/eV/f.u.

Geometry as CIF:
```
data_La2Tb4PrNd
_cell_length_a 6.320
_cell_length_b 3.659
_cell_length_c 11.960
_cell_angle_alpha 90.00
_cell_angle_beta 100.25
_cell_angle_gamma 90.00
_space_group_name_H-M_alt 'P 1 2/m 1'
_space_group_IT_number 10
loop_
_space_group_symop_operation_xyz
'x,y,z'
'-x,-y,-z'
'-x,y,-z'
'x,-y,z'
loop_
_atom_site_label
_atom_site_type_symbol
_atom_site_fract_x
_atom_site_fract_y
_atom_site_fract_z
_atom_site_occupancy
La1 La 0.000 0.000 0.000 1
La2 La 0.000 0.500 0.500 1
Tb1 Tb 0.250 0.000 0.750 1
Tb2 Tb 0.251 0.500 0.251 1
Pr1 Pr 0.500 0.500 0.000 1
Nd1 Nd 0.500 0.000 0.500 1
```

=====

8.
Compound: La6TbPr2Nd
Source: Alexandria via LeMat-Bulk
Functional: PBE
Structure: relaxed

Calculated values
**Calculated formation energy**: 0.10 eV/atom
**DFT total energy**: -4.748 eV per atom
**Fermi-level density of states**: 12.8 states/eV/f.u.

Geometry as CIF:
```
data_La6TbPr2Nd
_cell_length_a 9.927
_cell_length_b 15.534
_cell_length_c 9.337
_cell_angle_alpha 90.00
_cell_angle_beta 90.75
_cell_angle_gamma 90.00
_space_group_name_H-M_alt 'C 1 2/c 1'
_space_group_IT_number 15
loop_
_space_group_symop_operation_xyz
'x,y,z'
'-x,-y,-z'
'-x,y,-z+1/2'
'x,-y,z+1/2'
'x+1/2,y+1/2,z'
'-x+1/2,-y+1/2,-z'
'-x+1/2,y+1/2,-z+1/2'
'x+1/2,-y+1/2,z+1/2'
loop_
_atom_site_label
_atom_site_type_symbol
_atom_site_fract_x
_atom_site_fract_y
_atom_site_fract_z
_atom_site_occupancy
La1 La 0.074 0.148 0.095 1
La2 La 0.075 0.351 0.909 1
La3 La 0.248 0.281 0.319 1
Tb1 Tb 0.000 0.433 0.250 1
Pr1 Pr 0.248 0.455 0.564 1
Nd1 Nd 0.000 0.072 0.750 1
```

=====

9.
Compound: La2TbPr5Nd
Source: Alexandria via LeMat-Bulk
Functional: PBE
Structure: relaxed

Calculated values
**Calculated formation energy**: 0.24 eV/atom
**DFT total energy**: -4.553 eV per atom
**Fermi-level density of states**: 15.0 states/eV/f.u.

Geometry as CIF:
```
data_La2TbPr5Nd
_cell_length_a 8.858
_cell_length_b 8.858
_cell_length_c 16.550
_cell_angle_alpha 90.00
_cell_angle_beta 90.00
_cell_angle_gamma 90.00
_space_group_name_H-M_alt 'I 4/m c m'
_space_group_IT_number 140
_space_group_name_Hall '-I 4 2c'
loop_
_atom_site_label
_atom_site_type_symbol
_atom_site_fract_x
_atom_site_fract_y
_atom_site_fract_z
_atom_site_occupancy
La1 La 0.119 0.381 0.000 1
Tb1 Tb 0.000 0.500 0.250 1
Pr1 Pr 0.000 0.000 0.000 1
Pr2 Pr 0.217 0.283 0.357 1
Nd1 Nd 0.000 0.000 0.250 1
```

=====

10.
Compound: LaTb2Pr2Nd
Source: Alexandria via LeMat-Bulk
Functional: PBE
Structure: relaxed

Calculated values
**Calculated formation energy**: 0.14 eV/atom
**DFT total energy**: -4.609 eV per atom
**Fermi-level density of states**: 9.1 states/eV/f.u.

Geometry as CIF:
```
data_LaTb2Pr2Nd
_cell_length_a 7.101
_cell_length_b 16.670
_cell_length_c 3.576
_cell_angle_alpha 90.00
_cell_angle_beta 90.00
_cell_angle_gamma 90.00
_space_group_name_H-M_alt 'P n n m'
_space_group_IT_number 58
loop_
_space_group_symop_operation_xyz
'x,y,z'
'-x,-y,-z'
'-x,-y,z'
'x,y,-z'
'x+1/2,-y+1/2,-z+1/2'
'-x+1/2,y+1/2,z+1/2'
'-x+1/2,y+1/2,-z+1/2'
'x+1/2,-y+1/2,z+1/2'
loop_
_atom_site_label
_atom_site_type_symbol
_atom_site_fract_x
_atom_site_fract_y
_atom_site_fract_z
_atom_site_occupancy
La1 La 0.000 0.000 0.000 1
Tb1 Tb 0.250 0.155 0.500 1
Pr1 Pr 0.248 0.339 0.000 1
Nd1 Nd 0.000 0.500 0.500 1
```

=====

11.
Compound: LaTb3Pr6Nd2
Source: Alexandria via LeMat-Bulk
Functional: PBE
Structure: relaxed

Calculated values
**Calculated formation energy**: 0.01 eV/atom
**DFT total energy**: -4.738 eV per atom
**Fermi-level density of states**: 17.9 states/eV/f.u.

Geometry as CIF:
```
data_LaTb3Pr6Nd2
_cell_length_a 6.380
_cell_length_b 11.057
_cell_length_c 12.141
_cell_angle_alpha 90.00
_cell_angle_beta 100.11
_cell_angle_gamma 90.00
_space_group_name_H-M_alt 'C 1 2/m 1'
_space_group_IT_number 12
loop_
_space_group_symop_operation_xyz
'x,y,z'
'-x,-y,-z'
'-x,y,-z'
'x,-y,z'
'x+1/2,y+1/2,z'
'-x+1/2,-y+1/2,-z'
'-x+1/2,y+1/2,-z'
'x+1/2,-y+1/2,z'
loop_
_atom_site_label
_atom_site_type_symbol
_atom_site_fract_x
_atom_site_fract_y
_atom_site_fract_z
_atom_site_occupancy
La1 La 0.000 0.000 0.000 1
Tb1 Tb 0.000 0.167 0.500 1
Tb2 Tb 0.000 0.500 0.500 1
Pr1 Pr 0.248 0.333 0.746 1
Pr2 Pr 0.249 0.000 0.745 1
Nd1 Nd 0.000 0.334 0.000 1
```

=====

12.
Compound: La2TbPr6Nd3
Source: Alexandria via LeMat-Bulk
Functional: PBE
Structure: relaxed

Calculated values
**Calculated formation energy**: 0.01 eV/atom
**DFT total energy**: -4.774 eV per atom
**Fermi-level density of states**: 20.5 states/eV/f.u.

Geometry as CIF:
```
data_La2TbPr6Nd3
_cell_length_a 6.415
_cell_length_b 11.111
_cell_length_c 12.274
_cell_angle_alpha 90.00
_cell_angle_beta 100.15
_cell_angle_gamma 90.00
_space_group_name_H-M_alt 'C 1 2/m 1'
_space_group_IT_number 12
loop_
_space_group_symop_operation_xyz
'x,y,z'
'-x,-y,-z'
'-x,y,-z'
'x,-y,z'
'x+1/2,y+1/2,z'
'-x+1/2,-y+1/2,-z'
'-x+1/2,y+1/2,-z'
'x+1/2,-y+1/2,z'
loop_
_atom_site_label
_atom_site_type_symbol
_atom_site_fract_x
_atom_site_fract_y
_atom_site_fract_z
_atom_site_occupancy
La1 La 0.000 0.167 0.000 1
Tb1 Tb 0.000 0.500 0.000 1
Pr1 Pr 0.249 0.500 0.749 1
Pr2 Pr 0.250 0.166 0.749 1
Nd1 Nd 0.000 0.000 0.500 1
Nd2 Nd 0.000 0.334 0.500 1
```